(1)
This record from the Open Quantum Materials Database describes NiBPb after structural relaxation. The functional is PBE.

- offset from the most stable computed form (eV/f.u.) = 1.53
- total moment (μB/cell) = 0.0

The structure in CIF format:
```
data_NiBPb
_chemical_formula_sum 'Ni4 B4 Pb4'
_symmetry_space_group_name_H-M 'F -4 3 m'
_symmetry_Int_Tables_number 216
_symmetry_space_group_name_Hall 'F -4 2 3'
_cell_length_a 5.929
_cell_length_b 5.929
_cell_length_c 5.929
_cell_angle_alpha 90.00
_cell_angle_beta 90.00
_cell_angle_gamma 90.00
loop_
_atom_site_label
_atom_site_fract_x
_atom_site_fract_y
_atom_site_fract_z
_atom_site_occupancy
Ni1 0.000 0.000 0.000 1
B1 0.000 0.000 0.500 1
Pb1 0.250 0.250 0.750 1
```


(2)
This record from the Open Quantum Materials Database describes RbSbPt after structural relaxation. The functional is PBE.

- offset from the most stable computed form (eV/f.u.) = 2.61
- total moment (μB/cell) = 0.0

The structure in CIF format:
```
data_RbSbPt
_chemical_formula_sum 'Rb4 Sb4 Pt4'
_symmetry_space_group_name_H-M 'F -4 3 m'
_symmetry_Int_Tables_number 216
_symmetry_space_group_name_Hall 'F -4 2 3'
_cell_length_a 7.331
_cell_length_b 7.331
_cell_length_c 7.331
_cell_angle_alpha 90.00
_cell_angle_beta 90.00
_cell_angle_gamma 90.00
loop_
_atom_site_label
_atom_site_fract_x
_atom_site_fract_y
_atom_site_fract_z
_atom_site_occupancy
Rb1 0.000 0.000 0.000 1
Sb1 0.250 0.250 0.250 1
Pt1 0.250 0.250 0.750 1
```


(3)
This record from the Open Quantum Materials Database describes InHg3PtSe4 after structural relaxation. The functional is PBE.

- total moment (μB/cell) = 0.0
- total energy (eV per cell) = -23.5

The structure in CIF format:
```
data_InHg3PtSe4
_chemical_formula_sum 'In1 Hg3 Pt1 Se4'
_symmetry_space_group_name_H-M 'P -4 3 m'
_symmetry_Int_Tables_number 215
_symmetry_space_group_name_Hall 'P -4 2 3'
_cell_length_a 6.328
_cell_length_b 6.328
_cell_length_c 6.328
_cell_angle_alpha 90.00
_cell_angle_beta 90.00
_cell_angle_gamma 90.00
loop_
_atom_site_label
_atom_site_fract_x
_atom_site_fract_y
_atom_site_fract_z
_atom_site_occupancy
In1 0.000 0.000 0.000 1
Hg1 0.000 0.500 0.500 1
Pt1 0.500 0.500 0.500 1
Se1 0.245 0.245 0.245 1
```